Entry 1:
A plane-wave DFT calculation with PBE was carried out for a relaxed AcPrSmY3 crystal.

Summary:
Space-group type: P2_1/m (11)

Cell lengths 3.685, 11.017, 10.982 Å; angles 109.49, 90.00, 90.00 degrees
Sites, in units of the cell vectors:
1 Y 0.750 0.872 0.040
2 Y 0.250 0.128 0.960
3 Sm 0.250 0.129 0.626
4 Ac 0.750 0.872 0.709
5 Sm 0.750 0.871 0.374
6 Y 0.250 0.620 0.792
7 Y 0.750 0.380 0.208
8 Ac 0.250 0.128 0.291
9 Y 0.750 0.380 0.544
10 Pr 0.250 0.624 0.125
11 Y 0.250 0.620 0.456
12 Pr 0.750 0.376 0.875

Entry 2:
A plane-wave DFT calculation with PBE was carried out for a relaxed AcPr2Sm3Y6 crystal.

Summary:
Space-group type: C2/m (12)

Cell lengths 6.332, 6.332, 11.949 Å; angles 95.05, 95.05, 119.99 degrees
Sites, in units of the cell vectors:
1 Sm 0.167 0.833 0.500
2 Pr 0.333 0.667 0.000
3 Sm 0.833 0.167 0.500
4 Ac 0.000 0.000 0.000
5 Y 0.580 0.915 0.746
6 Y 0.750 0.750 0.254
7 Sm 0.500 0.500 0.500
8 Y 0.420 0.085 0.254
9 Y 0.250 0.250 0.746
10 Pr 0.667 0.333 0.000
11 Y 0.085 0.420 0.254
12 Y 0.915 0.580 0.746

Entry 3:
A plane-wave DFT calculation with PBE was carried out for a relaxed AcPr2SmY crystal.

Summary:
Space-group type: P2_1/m (11)

Cell lengths 5.985, 6.545, 9.996 Å; angles 70.76, 90.00, 90.00 degrees
Sites, in units of the cell vectors:
1 Pr 0.250 0.229 0.200
2 Pr 0.750 0.959 0.405
3 Y 0.250 0.840 0.999
4 Y 0.750 0.160 0.001
5 Ac 0.750 0.567 0.200
6 Sm 0.750 0.360 0.600
7 Sm 0.250 0.640 0.400
8 Pr 0.750 0.771 0.800
9 Pr 0.250 0.041 0.595
10 Ac 0.250 0.433 0.800

Entry 4:
A plane-wave DFT calculation with PBE was carried out for a relaxed Ac2Pr3SmY6 crystal.

Summary:
Space-group type: C2/m (12)

Cell lengths 6.407, 6.407, 12.018 Å; angles 95.09, 95.09, 119.99 degrees
Sites, in units of the cell vectors:
1 Pr 0.833 0.167 0.500
2 Y 0.247 0.247 0.746
3 Sm 0.000 0.000 0.000
4 Ac 0.667 0.333 0.000
5 Y 0.415 0.084 0.253
6 Y 0.916 0.585 0.747
7 Y 0.753 0.753 0.254
8 Y 0.585 0.916 0.747
9 Pr 0.167 0.833 0.500
10 Pr 0.500 0.500 0.500
11 Ac 0.333 0.667 0.000
12 Y 0.084 0.415 0.253

Entry 5:
A plane-wave DFT calculation with PBE was carried out for a relaxed AcPrSm6Y2 crystal.

Summary:
Space-group type: C2/c (15)

Cell lengths 9.697, 9.018, 9.018 Å; angles 116.04, 92.63, 92.63 degrees
Sites, in units of the cell vectors:
1 Sm 0.677 0.008 0.548
2 Y 0.447 0.797 0.695
3 Pr 0.250 0.409 0.591
4 Pr 0.750 0.591 0.409
5 Ac 0.250 0.959 0.041
6 Sm 0.441 0.245 0.891
7 Y 0.053 0.305 0.203
8 Y 0.553 0.203 0.305
9 Sm 0.559 0.755 0.109
10 Sm 0.177 0.548 0.008
11 Sm 0.823 0.452 0.992
12 Y 0.947 0.695 0.797
13 Sm 0.616 0.476 0.707
14 Sm 0.884 0.293 0.524
15 Sm 0.323 0.992 0.452
16 Ac 0.750 0.041 0.959
17 Sm 0.059 0.109 0.755
18 Sm 0.116 0.707 0.476
19 Sm 0.384 0.524 0.293
20 Sm 0.941 0.891 0.245

Entry 6:
A plane-wave DFT calculation with PBE was carried out for a relaxed Ac3PrSm2Y6 crystal.

Summary:
Space-group type: C2/m (12)

Cell lengths 6.453, 6.453, 12.014 Å; angles 95.13, 95.13, 119.99 degrees
Sites, in units of the cell vectors:
1 Y 0.081 0.415 0.244
2 Y 0.253 0.253 0.756
3 Y 0.585 0.919 0.756
4 Ac 0.833 0.167 0.500
5 Ac 0.167 0.833 0.500
6 Y 0.919 0.585 0.756
7 Ac 0.500 0.500 0.500
8 Pr 0.000 0.000 0.000
9 Sm 0.667 0.333 0.000
10 Y 0.415 0.081 0.244
11 Y 0.747 0.747 0.244
12 Sm 0.333 0.667 0.000

Entry 7:
A plane-wave DFT calculation with PBE was carried out for a relaxed AcPr2SmY6 crystal.

Summary:
Space-group type: P2_1/c (14)

Cell lengths 9.679, 9.686, 7.510 Å; angles 90.00, 90.02, 90.00 degrees
Sites, in units of the cell vectors:
1 Y 0.619 0.627 0.999
2 Y 0.127 0.882 0.000
3 Y 0.326 0.673 0.250
4 Sm 0.000 0.500 0.500
5 Y 0.174 0.173 0.250
6 Y 0.381 0.373 0.001
7 Ac 0.500 0.000 0.500
8 Y 0.826 0.827 0.750
9 Pr 0.827 0.825 0.249
10 Pr 0.327 0.675 0.749
11 Y 0.873 0.118 0.000
12 Y 0.627 0.618 0.500
13 Ac 0.000 0.500 0.000
14 Y 0.881 0.127 0.501
15 Sm 0.500 0.000 0.000
16 Pr 0.173 0.175 0.751
17 Y 0.674 0.327 0.750
18 Pr 0.673 0.325 0.251
19 Y 0.373 0.382 0.500
20 Y 0.119 0.873 0.499

Entry 8:
A plane-wave DFT calculation with PBE was carried out for a relaxed AcPr3SmY crystal.

Summary:
Space-group type: P2_1/m (11)

Cell lengths 5.282, 8.319, 11.144 Å; angles 116.29, 90.00, 90.00 degrees
Sites, in units of the cell vectors:
1 Pr 0.250 0.133 0.960
2 Pr 0.750 0.867 0.040
3 Sm 0.250 0.621 0.124
4 Pr 0.750 0.375 0.546
5 Pr 0.250 0.625 0.454
6 Pr 0.250 0.621 0.793
7 Pr 0.750 0.379 0.207
8 Sm 0.750 0.379 0.876
9 Y 0.250 0.129 0.627
10 Ac 0.250 0.122 0.293
11 Ac 0.750 0.878 0.707
12 Y 0.750 0.871 0.373

Entry 9:
A plane-wave DFT calculation with PBE was carried out for a relaxed AcPr2Sm2Y crystal.

Summary:
Space-group type: Pmc2_1 (26)

Cell lengths 5.979, 6.487, 11.251 Å; angles 90.00, 90.00, 90.00 degrees
Sites, in units of the cell vectors:
1 Sm 0.500 0.173 0.420
2 Sm 0.000 0.846 0.081
3 Y 0.000 0.845 0.421
4 Pr 0.500 0.169 0.081
5 Ac 0.500 0.178 0.748
6 Pr 0.000 0.335 0.251
7 Pr 0.500 0.669 0.919
8 Sm 0.000 0.346 0.919
9 Sm 0.500 0.673 0.580
10 Ac 0.500 0.678 0.252
11 Y 0.000 0.345 0.579
12 Pr 0.000 0.835 0.749

Entry 10:
A plane-wave DFT calculation with PBE was carried out for a relaxed AcPr2Sm5Y crystal.

Summary:
Space-group type: I4/mcm (140)

Cell lengths 8.989, 8.989, 10.193 Å; angles 116.16, 116.16, 90.00 degrees
Sites, in units of the cell vectors:
1 Sm 0.659 0.159 0.732
2 Pr 0.382 0.882 0.000
3 Sm 0.073 0.573 0.732
4 Sm 0.500 0.500 0.000
5 Ac 0.250 0.250 0.500
6 Y 0.250 0.750 0.500
7 Sm 0.341 0.841 0.268
8 Sm 0.927 0.427 0.268
9 Sm 0.841 0.927 0.268
10 Sm 0.000 0.000 0.000
11 Y 0.750 0.250 0.500
12 Ac 0.750 0.750 0.500
13 Pr 0.882 0.618 0.000
14 Sm 0.573 0.659 0.732
15 Sm 0.427 0.341 0.268
16 Pr 0.118 0.382 0.000
17 Pr 0.618 0.118 0.000
18 Sm 0.159 0.073 0.732

Entry 11:
A plane-wave DFT calculation with PBE was carried out for a relaxed AcPr6SmY2 crystal.

Summary:
Space-group type: C2/c (15)

Cell lengths 9.851, 9.112, 9.112 Å; angles 116.25, 93.03, 93.03 degrees
Sites, in units of the cell vectors:
1 Y 0.551 0.205 0.304
2 Pr 0.180 0.550 0.006
3 Sm 0.250 0.410 0.590
4 Y 0.949 0.696 0.795
5 Pr 0.320 0.994 0.450
6 Pr 0.943 0.889 0.244
7 Pr 0.680 0.006 0.550
8 Pr 0.820 0.450 0.994
9 Pr 0.557 0.756 0.111
10 Pr 0.882 0.295 0.519
11 Y 0.449 0.795 0.696
12 Pr 0.118 0.705 0.481
13 Pr 0.443 0.244 0.889
14 Y 0.051 0.304 0.205
15 Pr 0.618 0.481 0.705
16 Pr 0.057 0.111 0.756
17 Pr 0.382 0.519 0.295
18 Ac 0.250 0.964 0.036
19 Sm 0.750 0.590 0.410
20 Ac 0.750 0.036 0.964

Entry 12:
A plane-wave DFT calculation with PBE was carried out for a relaxed Ac2PrSmY2 crystal.

Summary:
Space-group type: Pnnm (58)

Cell lengths 3.605, 6.770, 18.965 Å; angles 90.00, 90.00, 90.00 degrees
Sites, in units of the cell vectors:
1 Ac 0.000 0.783 0.191
2 Y 0.500 0.784 0.361
3 Ac 0.500 0.717 0.691
4 Pr 0.500 0.500 0.000
5 Ac 0.000 0.217 0.809
6 Sm 0.000 0.000 0.000
7 Y 0.000 0.284 0.139
8 Ac 0.500 0.283 0.309
9 Y 0.000 0.716 0.861
10 Sm 0.500 0.500 0.500
11 Y 0.500 0.216 0.639
12 Pr 0.000 0.000 0.500

Entry 13:
A plane-wave DFT calculation with PBE was carried out for a relaxed AcPr6Sm2Y crystal.

Summary:
Space-group type: C2/c (15)

Cell lengths 9.965, 9.161, 9.161 Å; angles 118.12, 93.48, 93.48 degrees
Sites, in units of the cell vectors:
1 Pr 0.381 0.503 0.292
2 Pr 0.315 0.986 0.440
3 Pr 0.881 0.292 0.503
4 Pr 0.447 0.250 0.877
5 Sm 0.455 0.799 0.690
6 Sm 0.045 0.310 0.201
7 Pr 0.815 0.440 0.986
8 Pr 0.553 0.750 0.123
9 Ac 0.250 0.976 0.024
10 Pr 0.119 0.708 0.497
11 Pr 0.619 0.497 0.708
12 Sm 0.955 0.690 0.799
13 Pr 0.947 0.877 0.250
14 Sm 0.545 0.201 0.310
15 Y 0.250 0.410 0.590
16 Y 0.750 0.590 0.410
17 Ac 0.750 0.024 0.976
18 Pr 0.685 0.014 0.560
19 Pr 0.053 0.123 0.750
20 Pr 0.185 0.560 0.014

Entry 14:
A plane-wave DFT calculation with PBE was carried out for a relaxed AcPrSm5Y2 crystal.

Summary:
Space-group type: Cmc2_1 (36)

Cell lengths 5.639, 12.445, 9.489 Å; angles 90.00, 90.00, 103.09 degrees
Sites, in units of the cell vectors:
1 Sm 0.259 0.517 0.364
2 Ac 0.398 0.796 0.429
3 Sm 0.993 0.986 0.026
4 Y 0.831 0.662 0.175
5 Sm 0.690 0.381 0.229
6 Sm 0.007 0.014 0.526
7 Ac 0.602 0.204 0.929
8 Sm 0.741 0.483 0.864
9 Sm 0.602 0.205 0.530
10 Sm 0.476 0.952 0.750
11 Sm 0.310 0.619 0.729
12 Sm 0.524 0.048 0.250
13 Pr 0.762 0.524 0.538
14 Y 0.169 0.338 0.675
15 Sm 0.398 0.795 0.030
16 Y 0.112 0.224 0.284
17 Pr 0.238 0.476 0.038
18 Y 0.888 0.776 0.784

Entry 15:
A plane-wave DFT calculation with PBE was carried out for a relaxed Ac2Pr4Sm2Y crystal.

Summary:
Space-group type: C2/m (12)

Cell lengths 3.768, 9.897, 9.137 Å; angles 90.55, 90.00, 100.97 degrees
Sites, in units of the cell vectors:
1 Sm 0.890 0.781 0.341
2 Pr 0.222 0.445 0.336
3 Sm 0.110 0.219 0.659
4 Y 0.000 0.000 0.000
5 Ac 0.663 0.326 0.997
6 Pr 0.447 0.893 0.665
7 Ac 0.337 0.674 0.003
8 Pr 0.778 0.555 0.664
9 Pr 0.553 0.107 0.335

Entry 16:
A plane-wave DFT calculation with PBE was carried out for a relaxed AcPrSmZn crystal.

Summary:
Space-group type: F-43m (216)

Cell lengths 5.635, 5.635, 5.635 Å; angles 60.00, 60.00, 60.00 degrees
Sites, in units of the cell vectors:
1 Zn 0.750 0.750 0.750
2 Pr 0.500 0.500 0.500
3 Ac 0.250 0.250 0.250
4 Sm 0.000 0.000 0.000

Entry 17:
A plane-wave DFT calculation with PBE was carried out for a relaxed AcPrSmZn crystal.

Summary:
Space-group type: P4mm (99)

Cell lengths 3.758, 3.758, 9.043 Å; angles 90.00, 90.00, 90.00 degrees
Sites, in units of the cell vectors:
1 Zn 0.000 0.000 0.564
2 Pr 0.500 0.500 0.769
3 Ac 0.000 0.000 0.076
4 Sm 0.500 0.500 0.376

Entry 18:
A plane-wave DFT calculation with PBE was carried out for a relaxed Ac2Pr2Sn crystal.

Summary:
Space-group type: I4/mmm (139)

Cell lengths 4.488, 4.488, 10.485 Å; angles 102.36, 102.36, 90.00 degrees
Sites, in units of the cell vectors:
1 Sn 0.000 0.000 0.000
2 Pr 0.250 0.750 0.500
3 Pr 0.750 0.250 0.500
4 Ac 0.585 0.585 0.170
5 Ac 0.415 0.415 0.830

Entry 19:
A plane-wave DFT calculation with PBE was carried out for a relaxed Ac7PrSn5 crystal.

Summary:
Space-group type: Imm2 (44)

Cell lengths 6.938, 9.001, 9.001 Å; angles 79.69, 67.33, 67.33 degrees
Sites, in units of the cell vectors:
1 Sn 0.000 0.461 0.988
2 Ac 0.240 0.760 0.760
3 Pr 0.906 0.094 0.094
4 Sn 0.000 0.988 0.461
5 Ac 0.595 0.405 0.405
6 Sn 0.781 0.719 0.719
7 Ac 0.532 0.135 0.801
8 Ac 0.532 0.801 0.135
9 Sn 0.551 0.988 0.461
10 Ac 0.020 0.302 0.658
11 Sn 0.551 0.461 0.988
12 Ac 0.272 0.228 0.228
13 Ac 0.020 0.658 0.302

Entry 20:
A plane-wave DFT calculation with PBE was carried out for a relaxed AcPrSn crystal.

Summary:
Space-group type: I4/mmm (139)

Cell lengths 4.884, 4.884, 9.709 Å; angles 104.57, 104.57, 90.01 degrees
Sites, in units of the cell vectors:
1 Pr 0.500 0.000 0.000
2 Sn 0.869 0.869 0.739
3 Pr 0.000 0.500 0.000
4 Ac 0.679 0.679 0.357
5 Sn 0.131 0.131 0.261
6 Ac 0.321 0.321 0.643

| no. | uncorrected energy (eV/atom) | volume (Å³ per cell) |
| --- | --- | --- |
| 1 | -5.4686 | 420.3 |
| 2 | -5.5317 | 408.4 |
| 3 | -4.9314 | 369.7 |
| 4 | -5.4823 | 420.5 |
| 5 | -4.8894 | 705.9 |
| 6 | -5.4081 | 426.2 |
| 7 | -5.6230 | 704.0 |
| 8 | -4.9086 | 439.1 |
| 9 | -4.8838 | 436.4 |
| 10 | -4.6076 | 643.9 |
| 11 | -4.9278 | 729.9 |
| 12 | -4.8307 | 462.8 |
| 13 | -4.7585 | 732.4 |
| 14 | -4.9039 | 648.7 |
| 15 | -4.7720 | 334.5 |
| 16 | -3.5824 | 126.5 |
| 17 | -3.8554 | 127.7 |
| 18 | -4.2528 | 201.3 |
| 19 | -4.5498 | 478.3 |
| 20 | -4.8799 | 216.5 |